*one*
First-principles (PBE-GGA) data for a relaxed MgSb3 crystal, as listed in Alexandria via LeMat-Bulk.

Computed properties:
Volume in Å³ per cell: 115.6

Cell lengths 4.030, 4.728, 6.067 Å; angles 90.00, 90.00, 90.00 degrees
Atoms (fractional coordinates):
1 Sb 0.000 0.823 0.500
2 Sb 0.500 0.389 0.500
3 Sb 0.500 0.308 0.000
4 Mg 0.000 0.813 0.000

*two*
First-principles (PBE-GGA) data for a relaxed MgSb3 crystal, as listed in Alexandria via LeMat-Bulk.

Computed properties:
Volume in Å³ per cell: 105.4

Cell lengths 4.724, 4.724, 4.724 Å; angles 90.00, 90.00, 90.00 degrees
Atoms (fractional coordinates):
1 Sb 0.500 0.000 0.500
2 Sb 0.000 0.500 0.500
3 Sb 0.500 0.500 0.000
4 Mg 0.000 0.000 0.000

*three*
First-principles (PBE-GGA) data for a relaxed MgSb3 crystal, as listed in Alexandria via LeMat-Bulk.

Computed properties:
Volume in Å³ per cell: 225.4

Cell lengths 6.112, 6.112, 6.043 Å; angles 90.00, 90.00, 93.17 degrees
Atoms (fractional coordinates):
1 Sb 0.696 0.754 0.750
2 Sb 0.798 0.202 0.250
3 Sb 0.304 0.246 0.250
4 Sb 0.754 0.696 0.250
5 Sb 0.202 0.798 0.750
6 Sb 0.246 0.304 0.750
7 Mg 0.744 0.256 0.750
8 Mg 0.256 0.744 0.250

*three* ends up most stable, edging out the next structure by 0.7 kJ/mol of atoms.

*one*
First-principles (PBE-GGA) data for a relaxed MgSb4 crystal, as listed in Alexandria via LeMat-Bulk.

Computed properties:
Volume in Å³ per cell: 158.6

Cell lengths 6.104, 6.104, 6.104 Å; angles 120.89, 120.89, 88.46 degrees
Atoms (fractional coordinates):
1 Sb 0.324 0.324 0.000
2 Sb 0.750 0.250 0.500
3 Sb 0.676 0.676 0.000
4 Sb 0.250 0.750 0.500
5 Mg 0.000 0.000 0.000

*two*
First-principles (PBE-GGA) data for a relaxed MgSb4 crystal, as listed in Alexandria via LeMat-Bulk.

Computed properties:
Volume in Å³ per cell: 153.7

Cell lengths 5.357, 5.357, 5.357 Å; angles 90.00, 90.00, 90.00 degrees
Atoms (fractional coordinates):
1 Sb 0.000 0.000 0.000
2 Sb 0.500 0.000 0.500
3 Sb 0.000 0.500 0.500
4 Sb 0.500 0.500 0.000
5 Mg 0.500 0.500 0.500

*one* ends up most stable, edging out the next structure by 41.5 kJ/mol of atoms.

*one*
First-principles (PBE-GGA) data for a relaxed MgSb4 crystal, as listed in Alexandria via LeMat-Bulk.

Computed properties:
Volume in Å³ per cell: 149.4

Cell lengths 5.790, 5.790, 5.790 Å; angles 109.47, 109.47, 109.47 degrees
Atoms (fractional coordinates):
1 Sb 0.500 0.000 0.000
2 Sb 0.000 0.000 0.500
3 Sb 0.500 0.500 0.500
4 Sb 0.000 0.500 0.000
5 Mg 0.000 0.000 0.000

*two*
First-principles (PBE-GGA) data for a relaxed MgSb4 crystal, as listed in Alexandria via LeMat-Bulk.

Computed properties:
Volume in Å³ per cell: 133.9

Cell lengths 6.144, 6.144, 6.144 Å; angles 95.95, 95.95, 142.43 degrees
Atoms (fractional coordinates):
1 Sb 0.211 0.616 0.827
2 Sb 0.384 0.211 0.595
3 Sb 0.789 0.384 0.173
4 Sb 0.616 0.789 0.405
5 Mg 0.000 0.000 0.000

*two* ends up most stable, edging out the next structure by 2.4 kJ/mol of atoms.

*one*
First-principles (PBE-GGA) data for a relaxed Mg4Sb3 crystal, as listed in Alexandria via LeMat-Bulk.

Computed properties:
Volume in Å³ per cell: 192.7

Cell lengths 4.476, 7.565, 6.951 Å; angles 118.40, 108.78, 90.00 degrees
Atoms (fractional coordinates):
1 Mg 0.139 0.425 0.278
2 Mg 0.861 0.575 0.722
3 Mg 0.662 0.059 0.325
4 Mg 0.338 0.941 0.675
5 Sb 0.340 0.328 0.679
6 Sb 0.000 0.000 0.000
7 Sb 0.660 0.672 0.321

*two*
First-principles (PBE-GGA) data for a relaxed Mg4Sb3 crystal, as listed in Alexandria via LeMat-Bulk.

Computed properties:
Volume in Å³ per cell: 187.8

Cell lengths 6.269, 6.269, 5.518 Å; angles 90.00, 90.00, 120.00 degrees
Atoms (fractional coordinates):
1 Mg 0.667 0.333 0.500
2 Mg 0.000 0.000 0.748
3 Mg 0.333 0.667 0.500
4 Mg 0.000 0.000 0.252
5 Sb 0.500 0.500 0.000
6 Sb 0.500 0.000 0.000
7 Sb 0.000 0.500 0.000

*one* ends up most stable, edging out the next structure by 32.8 kJ/mol of atoms.